No. 1
Below is a relaxed structure of BaLi2GePt, with properties calculated at the GGA-PBE level.

Its total energy is -3.766 eV/atom. The formation energy is -0.4845 eV per atom.

It has space group P4/mmm (No. 123), with a = 5.008 Å, b = 5.008 Å, c = 4.765 Å, α = 90.00°, β = 90.00° and γ = 90.00°. Symmetry generates all atoms from Ba at (0.000, 0.000, 0.000), Li at (0.000, 0.500, 0.500), Ge at (0.500, 0.500, 0.000) and Pt at (0.500, 0.500, 0.500).



No. 2
Below is a relaxed structure of Al3ZnGa4, with properties calculated at the GGA-PBE level.

Its total energy is -2.971 eV/atom. The formation energy is 0.1054 eV per atom.

It has space group C2/m (No. 12), with a = 24.503 Å, b = 2.883 Å, c = 4.292 Å, α = 90.00°, β = 98.45° and γ = 90.00°. Symmetry generates all atoms from Al at (0.000, 0.000, 0.000), Al at (0.162, 0.000, 0.175), Zn at (0.000, 0.500, 0.500), Ga at (0.094, 0.000, 0.617) and Ga at (0.215, 0.500, 0.722).